(1)
{"formula": "PrLuZnIr", "functional": "PBE-GGA", "state": "optimized geometry", "lattice": [[4.9885, 0.0000, 0.0000], [2.4942, 4.3202, 0.0000], [2.4942, 1.4401, 4.0731]], "species": ["Lu", "Zn", "Pr", "Ir"], "frac_coords": [[0.2500, 0.2500, 0.2500], [0.5000, 0.5000, 0.5000], [0.7500, 0.7500, 0.7500], [0.0000, 0.0000, 0.0000]], "final_energy_ev_per_atom": -5.4010, "dos_ef_per_ev_cell": 2.5, "ef_ev_per_atom": -0.542}


(2)
{"formula": "LuScIrPt", "functional": "PBE-GGA", "state": "optimized geometry", "lattice": [[-3.0395, 3.1685, 1.7024], [-4.6255, -0.5790, -0.6676], [-2.7812, -1.1196, 3.6315]], "species": ["Lu", "Ir", "Pt", "Sc"], "frac_coords": [[0.0000, 0.0000, 0.0000], [0.2500, 0.2500, 0.2500], [0.7500, 0.7500, 0.7500], [0.5000, 0.5000, 0.5000]], "final_energy_ev_per_atom": -7.5472, "dos_ef_per_ev_cell": 1.9, "ef_ev_per_atom": -1.109}


(3)
{"formula": "LuSnIrPt", "functional": "PBE-GGA", "state": "optimized geometry", "lattice": [[-0.6534, -2.1111, 4.1668], [2.1070, -4.1200, 0.9124], [3.5311, -0.2030, 3.1203]], "species": ["Sn", "Ir", "Pt", "Lu"], "frac_coords": [[0.5000, 0.5000, 0.5000], [0.2500, 0.2500, 0.2500], [0.7500, 0.7500, 0.7500], [0.0000, 0.0000, 0.0000]], "final_energy_ev_per_atom": -6.5693, "dos_ef_per_ev_cell": 2.7, "ef_ev_per_atom": -0.713}


(4)
{"formula": "TbLuIrPt", "functional": "PBE-GGA", "state": "optimized geometry", "lattice": [[4.8541, 0.0000, 0.0000], [2.4270, 4.2038, 0.0000], [2.4270, 1.4013, 3.9633]], "species": ["Tb", "Pt", "Ir", "Lu"], "frac_coords": [[0.0000, 0.0000, 0.0000], [0.7500, 0.7500, 0.7500], [0.2500, 0.2500, 0.2500], [0.5000, 0.5000, 0.5000]], "final_energy_ev_per_atom": -7.0680, "dos_ef_per_ev_cell": 1.9, "ef_ev_per_atom": -1.055}


(5)
{"formula": "LuThIrPt", "functional": "PBE-GGA", "state": "optimized geometry", "lattice": [[-2.7556, -2.9186, -2.9430], [2.0793, -2.2540, -3.9203], [0.6853, -4.9297, 0.0383]], "species": ["Lu", "Ir", "Pt", "Th"], "frac_coords": [[0.5000, 0.5000, 0.5000], [0.2500, 0.2500, 0.2500], [0.7500, 0.7500, 0.7500], [0.0000, 0.0000, 0.0000]], "final_energy_ev_per_atom": -7.6927, "dos_ef_per_ev_cell": 3.2, "ef_ev_per_atom": -0.982}


(6)
{"formula": "TmLuIrPt", "functional": "PBE-GGA", "state": "optimized geometry", "lattice": [[-0.0335, 4.4060, -1.9295], [-2.5679, 3.5077, 2.0589], [2.2375, 3.6226, 2.2377]], "species": ["Pt", "Ir", "Lu", "Tm"], "frac_coords": [[0.7500, 0.7500, 0.7500], [0.2500, 0.2500, 0.2500], [0.0000, 0.0000, 0.0000], [0.5000, 0.5000, 0.5000]], "final_energy_ev_per_atom": -7.0881, "dos_ef_per_ev_cell": 2.1, "ef_ev_per_atom": -1.115}


(7)
{"formula": "LuUIrPt", "functional": "PBE-GGA", "state": "optimized geometry", "lattice": [[-2.5113, -4.1424, 0.3149], [-0.4263, -2.8812, -3.8836], [2.3215, -4.2615, -0.1272]], "species": ["Lu", "U", "Ir", "Pt"], "frac_coords": [[0.0000, 0.0000, 0.0000], [0.5000, 0.5000, 0.5000], [0.2500, 0.2500, 0.2500], [0.7500, 0.7500, 0.7500]], "final_energy_ev_per_atom": -8.4124, "dos_ef_per_ev_cell": 4.7, "ef_ev_per_atom": -0.735}


(8)
{"formula": "LuPuIr4", "functional": "PBE-GGA", "state": "optimized geometry", "lattice": [[-5.0564, -1.4684, 0.8728], [-1.5847, -4.9540, -1.1967], [-1.1395, -3.4540, 3.9059]], "species": ["Pu", "Lu", "Ir", "Ir", "Ir", "Ir"], "frac_coords": [[0.2500, 0.2500, 0.2500], [0.0000, 0.0000, 0.0000], [0.1248, 0.6251, 0.6251], [0.6251, 0.6251, 0.1248], [0.6251, 0.1248, 0.6251], [0.6251, 0.6251, 0.6251]], "final_energy_ev_per_atom": -9.7345, "dos_ef_per_ev_cell": 11.6, "ef_ev_per_atom": -0.685}


(9)
{"formula": "Lu2PuIr", "functional": "PBE-GGA", "state": "optimized geometry", "lattice": [[3.3472, 0.0000, 0.0000], [0.0000, 3.3472, 0.0000], [0.0000, 0.0000, 8.6059]], "species": ["Lu", "Lu", "Pu", "Ir"], "frac_coords": [[0.0000, 0.0000, 0.1920], [0.0000, 0.0000, 0.8080], [0.5000, 0.5000, 0.5000], [0.5000, 0.5000, 0.0000]], "final_energy_ev_per_atom": -8.4941, "dos_ef_per_ev_cell": 7.5, "ef_ev_per_atom": -0.435, "polymorph_energy_mev_per_atom": 0}


(10)
{"formula": "Lu2PuIr", "functional": "PBE-GGA", "state": "optimized geometry", "lattice": [[3.7496, 0.0000, 0.0000], [1.8748, 3.2472, 0.0000], [1.8748, 1.0824, 9.1532]], "species": ["Pu", "Lu", "Lu", "Ir"], "frac_coords": [[0.5000, 0.5000, 0.5000], [0.2748, 0.2748, 0.1756], [0.7252, 0.7252, 0.8244], [0.0000, 0.0000, 0.0000]], "final_energy_ev_per_atom": -8.2903, "dos_ef_per_ev_cell": 10.3, "ef_ev_per_atom": -0.232, "polymorph_energy_mev_per_atom": 204}


(11)
{"formula": "LuPuIrRu", "functional": "PBE-GGA", "state": "optimized geometry", "lattice": [[-4.1292, 0.5986, -2.3122], [-0.0708, 0.0987, -4.7687], [-1.9191, -3.6270, -2.4325]], "species": ["Ir", "Lu", "Ru", "Pu"], "frac_coords": [[0.5000, 0.5000, 0.5000], [0.7500, 0.7500, 0.7500], [0.0000, 0.0000, 0.0000], [0.2500, 0.2500, 0.2500]], "final_energy_ev_per_atom": -9.7555, "dos_ef_per_ev_cell": 6.2, "ef_ev_per_atom": -0.508}


(12)
{"formula": "LuPuSnIr", "functional": "PBE-GGA", "state": "optimized geometry", "lattice": [[-0.1236, -4.2264, 2.7502], [-1.9881, -4.2118, -1.9364], [2.9910, -3.8795, -1.2020]], "species": ["Sn", "Ir", "Pu", "Lu"], "frac_coords": [[0.5000, 0.5000, 0.5000], [0.0000, 0.0000, 0.0000], [0.7500, 0.7500, 0.7500], [0.2500, 0.2500, 0.2500]], "final_energy_ev_per_atom": -8.3341, "dos_ef_per_ev_cell": 8.3, "ef_ev_per_atom": -0.405}